CrAsO4 | Alexandria via LeMat-Bulk | PBE with a Hubbard U | relaxed; VASP energy = -6.82 eV per atom; Fermi-level density of states = 0.0 states/eV/cell; magnetic moment = 6.00 Bohr magnetons per cell
1.0
2.7269 -4.1101 0.0000
2.7269 4.1101 0.0000
0.0000 0.0000 6.3219
Cr As O
2 2 8
Direct
0.0000 0.0000 0.0000
0.0000 0.0000 0.5000
0.3466 0.6534 0.7500
0.6534 0.3466 0.2500
0.2224 0.2650 0.7500
0.2398 0.7602 0.5219
0.2398 0.7602 0.9781
0.2650 0.2224 0.2500
0.7350 0.7776 0.7500
0.7602 0.2398 0.0219
0.7602 0.2398 0.4781
0.7776 0.7350 0.2500